# 1
{
  "formula": "KCo2Cl8",
  "functional": "GGA-PBE",
  "state": "relaxed",
  "total_energy_ev_per_atom": -3.47,
  "sg": "C2/c",
  "dos_ef_per_ev_atom": 0.78,
  "cell": [[-6.861, -1.955, -1.780], [-2.050, -10.250, 3.973], [-6.483, 1.201, 8.484]],
  "species": ["K", "K", "Co", "Co", "Co", "Co", "Cl", "Cl", "Cl", "Cl", "Cl", "Cl", "Cl", "Cl", "Cl", "Cl", "Cl", "Cl", "Cl", "Cl", "Cl", "Cl"],
  "fractional_positions": [[0.145, 0.750, 0.250], [0.855, 0.250, 0.750], [0.823, 0.822, 0.976], [0.380, 0.322, 0.476], [0.620, 0.678, 0.524], [0.177, 0.178, 0.024], [0.330, 0.765, 0.489], [0.134, 0.055, 0.222], [0.751, 0.934, 0.127], [0.244, 0.173, 0.488], [0.249, 0.066, 0.873], [0.905, 0.327, 0.012], [0.756, 0.827, 0.512], [0.188, 0.434, 0.627], [0.095, 0.673, 0.988], [0.583, 0.735, 0.011], [0.589, 0.555, 0.722], [0.411, 0.445, 0.278], [0.417, 0.265, 0.989], [0.812, 0.566, 0.373], [0.670, 0.235, 0.511], [0.866, 0.945, 0.778]]
}

***

# 2
{
  "formula": "Y6TmTh3",
  "functional": "GGA-PBE",
  "state": "relaxed",
  "polymorph_energy_ev_per_atom": 0.1303,
  "sg": "Cmc2_1",
  "formation_energy_ev_per_atom": 0.20,
  "dos_ef_per_ev_atom": 1.49,
  "cell": [[-1.604, 3.221, 5.277], [-3.964, -9.137, 4.373], [10.438, 2.630, 1.566]],
  "species": ["Y", "Y", "Y", "Y", "Y", "Y", "Y", "Y", "Y", "Y", "Y", "Y", "Tm", "Tm", "Th", "Th", "Th", "Th", "Th", "Th"],
  "fractional_positions": [[0.057, 0.707, 0.625], [0.557, 0.625, 0.707], [0.378, 0.533, 0.947], [0.878, 0.947, 0.533], [0.372, 0.962, 0.038], [0.635, 0.262, 0.738], [0.135, 0.738, 0.262], [0.872, 0.038, 0.962], [0.378, 0.053, 0.467], [0.878, 0.467, 0.053], [0.057, 0.375, 0.293], [0.557, 0.293, 0.375], [0.127, 0.196, 0.804], [0.627, 0.804, 0.196], [0.466, 0.942, 0.712], [0.966, 0.712, 0.942], [0.050, 0.381, 0.619], [0.550, 0.619, 0.381], [0.966, 0.058, 0.288], [0.466, 0.288, 0.058]]
}

***

# 3
{
  "formula": "RbRhBr2F",
  "functional": "GGA-PBE",
  "state": "relaxed",
  "total_energy_ev_per_atom": -3.77,
  "sg": "P4/mmm",
  "dos_ef_per_ev_atom": 0.48,
  "cell": [[5.252, 0.000, 0.000], [0.000, 5.252, 0.000], [0.000, 0.000, 4.323]],
  "species": ["Rh", "Br", "Br", "Rb", "F"],
  "fractional_positions": [[0.000, 0.000, 0.000], [0.000, 0.500, 0.000], [0.500, 0.000, 0.000], [0.500, 0.500, 0.500], [0.000, 0.000, 0.500]]
}

***

# 4
{
  "formula": "LiCe2C",
  "functional": "GGA-PBE",
  "state": "relaxed",
  "polymorph_energy_ev_per_atom": 0.0000,
  "sg": "R3m",
  "formation_energy_ev_per_atom": -0.06,
  "dos_ef_per_ev_atom": 1.91,
  "cell": [[-3.379, 0.642, -0.484], [-1.794, -1.821, -2.352], [-3.800, -6.537, 5.394]],
  "species": ["Li", "Ce", "Ce", "C"],
  "fractional_positions": [[0.501, 0.501, 0.498], [0.053, 0.053, 0.842], [0.280, 0.280, 0.159], [0.666, 0.666, 0.001]]
}

***

# 5
{
  "formula": "Tm3NiPt2",
  "functional": "GGA-PBE",
  "state": "relaxed",
  "sg": "Pnma",
  "formation_energy_ev_per_atom": -1.03,
  "dos_ef_per_ev_atom": 0.43,
  "cell": [[4.077, 0.000, 0.000], [0.000, 11.147, 0.000], [0.000, 0.000, 11.239]],
  "species": ["Tm", "Tm", "Tm", "Tm", "Tm", "Tm", "Tm", "Tm", "Tm", "Tm", "Tm", "Tm", "Ni", "Ni", "Ni", "Ni", "Pt", "Pt", "Pt", "Pt", "Pt", "Pt", "Pt", "Pt"],
  "fractional_positions": [[0.250, 0.375, 0.049], [0.750, 0.625, 0.951], [0.750, 0.875, 0.451], [0.250, 0.125, 0.549], [0.250, 0.694, 0.218], [0.750, 0.306, 0.782], [0.750, 0.194, 0.282], [0.250, 0.806, 0.718], [0.250, 0.441, 0.379], [0.750, 0.559, 0.621], [0.750, 0.941, 0.121], [0.250, 0.059, 0.879], [0.250, 0.126, 0.125], [0.750, 0.874, 0.875], [0.750, 0.626, 0.375], [0.250, 0.374, 0.625], [0.250, 0.691, 0.494], [0.750, 0.309, 0.506], [0.750, 0.191, 0.006], [0.250, 0.809, 0.994], [0.250, 0.001, 0.316], [0.750, 0.999, 0.684], [0.750, 0.501, 0.184], [0.250, 0.499, 0.816]]
}

***

# 6
{
  "formula": "InGaRh",
  "functional": "GGA-PBE",
  "state": "relaxed",
  "sg": "Pmmm",
  "formation_energy_ev_per_atom": -0.38,
  "dos_ef_per_ev_atom": 0.57,
  "cell": [[2.935, 0.000, 0.000], [0.000, 4.238, 0.000], [0.000, 0.000, 4.696]],
  "species": ["Ga", "Rh", "In"],
  "fractional_positions": [[0.000, 0.500, 0.500], [0.500, 0.000, 0.500], [0.000, 0.000, 0.000]]
}